[1]
Material: SiGe2S
Method: DFT, meta-GGA SCAN
State: single point on PBEsol structure

Output
E_form (uncorrected): 607.7 meV/atom
D(E_F): 7.8 states/eV per cell
spin magnetization: 0.000 μB/f.u.

Cell lengths 6.4270, 6.4270, 6.4270 Å; angles 90.00, 90.00, 90.00 degrees
Closest atoms and distances in Å follow each position.
Space group Fm-3m (No. 225)
Unique sites:
Si (0.0000, 0.0000, 0.0000) x4  8 Ge 2.78
Ge (0.2500, 0.2500, 0.2500) x8  4 S 2.78, 4 Si 2.78
S (0.0000, 0.0000, 0.5000) x4  8 Ge 2.78



[2]
Material: TaSiGeS2
Method: DFT, meta-GGA SCAN
State: single point on PBEsol structure

Output
E_form (uncorrected): 897.2 meV/atom
D(E_F): 2.8 states/eV per cell
spin magnetization: 0.000 μB/f.u.

Cell lengths 4.3095, 4.3095, 5.0601 Å; angles 90.00, 90.00, 90.00 degrees
Closest atoms and distances in Å follow each position.
Space group P4/mmm (No. 123)
Unique sites:
Ta (0.0000, 0.0000, 0.0000) x1  2 Si 2.53
Si (0.0000, 0.0000, 0.5000) x1  4 S 2.15
Ge (0.5000, 0.5000, 0.0000) x1  4 Ta 3.05, 8 S 3.32
S (0.0000, 0.5000, 0.5000) x2  2 Si 2.15



[3]
Material: Sm6Ge3S14
Method: DFT, meta-GGA SCAN
State: single point on PBEsol structure

Output
E_form (uncorrected): -1681.3 meV/atom
spin magnetization: 0.000 μB/f.u.

Cell lengths 9.9975, 9.9975, 5.6750 Å; angles 90.00, 90.00, 120.00 degrees
Closest atoms and distances in Å follow each position.
Space group P3 (No. 143)
Unique sites:
Sm (0.0248, 0.5647, 0.0000) x3  8 S 2.81-3.06
Sm (0.3078, 0.1023, 0.4922) x3  8 S 2.80-3.06
Ge (0.0000, 0.0000, 0.9108) x1  4 S 2.18-2.23
Ge (0.3333, 0.6667, 0.4183) x1  4 S 2.18-2.23
Ge (0.6667, 0.3333, 0.7595) x1  6 S 2.65-2.68
S (0.0000, 0.0000, 0.2949) x1  1 Ge 2.18
S (0.0819, 0.8495, 0.7519) x3  1 Ge 2.23
S (0.1828, 0.4345, 0.2573) x3  1 Ge 2.23
S (0.3333, 0.6667, 0.8018) x1  1 Ge 2.18
S (0.4075, 0.1657, 0.0082) x3  1 Ge 2.68, 3 Sm 2.81-2.88
S (0.5024, 0.4268, 0.5165) x3  1 Ge 2.65, 3 Sm 2.80-2.88



[4]
Material: Sn2GeS
Method: DFT, meta-GGA SCAN
State: single point on PBEsol structure

Output
E_form (uncorrected): 263.5 meV/atom
D(E_F): 6.5 states/eV per cell
spin magnetization: 0.000 μB/f.u.

Cell lengths 6.9708, 6.9708, 6.9708 Å; angles 90.00, 90.00, 90.00 degrees
Closest atoms and distances in Å follow each position.
Space group Fm-3m (No. 225)
Unique sites:
Sn (0.2500, 0.2500, 0.2500) x8  4 S 3.02, 4 Ge 3.02
Ge (0.0000, 0.0000, 0.0000) x4  8 Sn 3.02
S (0.0000, 0.0000, 0.5000) x4  8 Sn 3.02



> Among the records above, which one has the highest E_form (uncorrected)?

TaSiGeS2



> What is the E_form (uncorrected) in the fourth record?

263.5 meV/atom